# B5C PBE relaxed
# ΔE to the lowest computed polymorph in meV/atom: 242
# Final energy in Ry per atom: -0.4897
# Total magnetization in μB per cell: 0.0
# V in Å³/cell: 99
data_B5C
_chemical_formula_sum 'B10 C2'
_cell_length_a 4.955
_cell_length_b 2.787
_cell_length_c 7.196
_cell_angle_alpha 90.00
_cell_angle_beta 93.69
_cell_angle_gamma 90.00
_symmetry_space_group_name_H-M 'P 1 m 1'
_symmetry_Int_Tables_number 6
loop_
_symmetry_equiv_pos_as_xyz
'x,y,z'
'x,-y,z'
loop_
_atom_site_label
_atom_site_type_symbol
_atom_site_fract_x
_atom_site_fract_y
_atom_site_fract_z
B1 B 0.000 0.000 0.000
B2 B 0.008 0.500 0.407
B3 B 0.239 0.500 0.026
B4 B 0.260 0.000 0.181
B5 B 0.404 0.500 0.813
B6 B 0.455 0.000 0.511
B7 B 0.491 0.500 0.175
B8 B 0.658 0.500 0.384
B9 B 0.797 0.000 0.809
B10 B 0.973 0.500 0.863
C1 C 0.156 0.000 0.398
C2 C 0.491 0.000 0.735